KFe4Bi2 | OQMD | PBE | optimized geometry; symmetry = R-3m (166); E = -42.058 eV per cell
1.0
2.094 1.209 9.682
-2.094 1.209 9.682
0.000 -2.418 9.682
Fe Bi K
4 2 1
Cartesian
0.000 0.000 24.697 Fe
0.000 0.000 4.348 Fe
0.000 0.000 15.640 Fe
0.000 0.000 13.405 Fe
0.000 0.000 7.163 Bi
0.000 0.000 21.882 Bi
0.000 0.000 0.000 K